KCaMo2 | PBE | optimized geometry

POSCAR file:
```
KCaMo2
1.0
0.000 3.771 3.771
3.771 0.000 3.771
3.771 3.771 0.000
K Ca Mo
1 1 2
Direct
0.000 0.000 0.000
0.500 0.500 0.500
0.250 0.250 0.250
0.750 0.750 0.750
```

## Properties
- space-group type = Fm-3m
- mass density (g/cm3) = 4.20
- DOS(E_F) (states/eV/cell) = 4.84
- energy (eV per cell) = -17.0
- energy of formation from the pure elements (meV/atom) = 1942

KCaMo2 | PBE | optimized geometry

POSCAR file:
```
KCaMo2
1.0
-2.473 2.473 3.491
2.473 -2.473 3.491
2.473 2.473 -3.491
K Ca Mo
1 1 2
Direct
0.000 0.000 0.000
0.250 0.750 0.500
0.500 0.500 0.000
0.750 0.250 0.500
```

## Properties
- space-group type = I-4m2
- mass density (g/cm3) = 5.27
- DOS(E_F) (states/eV/cell) = 3.74
- energy (eV per cell) = -19.3
- energy of formation from the pure elements (meV/atom) = 1360

KCa2Mo | PBE | optimized geometry

POSCAR file:
```
KCa2Mo
1.0
3.685 0.000 0.000
0.000 3.685 0.000
0.000 0.000 10.742
K Ca Mo
1 2 1
Direct
0.000 0.000 0.000
0.500 0.500 0.333
0.500 0.500 0.667
0.000 0.000 0.500
```

## Properties
- space-group type = P4/mmm
- mass density (g/cm3) = 2.45
- DOS(E_F) (states/eV/cell) = 3.20
- energy (eV per cell) = -13.3
- energy of formation from the pure elements (meV/atom) = 669

KCaMo2 | PBE | optimized geometry

POSCAR file:
```
KCaMo2
1.0
2.753 -5.626 0.000
2.753 5.626 0.000
-0.498 0.000 2.733
K Ca Mo
1 1 2
Direct
0.000 0.000 0.000
0.500 0.500 0.000
0.000 0.500 0.500
0.500 0.000 0.500
```

## Properties
- space-group type = C2/m
- mass density (g/cm3) = 5.32
- DOS(E_F) (states/eV/cell) = 4.31
- energy (eV per cell) = -19.7
- energy of formation from the pure elements (meV/atom) = 1268

KCaMo2 | PBE | optimized geometry

POSCAR file:
```
KCaMo2
1.0
2.771 0.000 0.000
0.000 2.771 0.000
0.000 0.000 11.390
K Ca Mo
1 1 2
Direct
0.000 0.000 0.000
0.000 0.000 0.500
0.500 0.500 0.273
0.500 0.500 0.727
```

## Properties
- space-group type = P4/mmm
- mass density (g/cm3) = 5.15
- DOS(E_F) (states/eV/cell) = 5.76
- energy (eV per cell) = -20.1
- energy of formation from the pure elements (meV/atom) = 1160

KCa2Mo | PBE | optimized geometry

POSCAR file:
```
KCa2Mo
1.0
1.701 0.982 12.539
-1.701 0.982 12.539
0.000 -1.964 12.539
K Ca Mo
1 2 1
Direct
0.000 0.000 0.000
0.232 0.232 0.232
0.475 0.475 0.475
0.745 0.745 0.745
```

## Properties
- space-group type = R3m
- mass density (g/cm3) = 2.84
- DOS(E_F) (states/eV/cell) = 4.80
- energy (eV per cell) = -12.1
- energy of formation from the pure elements (meV/atom) = 966